(1)
Entry from the Alexandria database: a crystal of MgReSe2 relaxed with PBEsol (SCAN).

Structure (POSCAR):
```
MgReSe2
1.0
-0.8333 2.0514 2.2452
1.8724 -1.1825 3.9898
5.0774 3.2472 1.1319
Se Mg Re
2 1 1
Cartesian
1.6369 0.9437 1.9597
4.2281 2.8636 1.1672
3.3105 1.7311 4.0758
5.0768 3.8831 4.9794
```

## Properties
VASP energy = -29.206 eV per atom
mass density = 8.0 g/cm3
magnetic moment = 0.0 μB per cell
formation energy from raw total energies = -149 meV per atom
symmetry = Cm (8)

=====

(2)
Entry from the Alexandria database: a crystal of Mg2ReSe relaxed with PBEsol (SCAN).

Structure (POSCAR):
```
Mg2ReSe
1.0
5.2667 0.0000 0.0000
2.6334 5.2586 0.0000
2.6334 0.0000 5.2586
Se Re Mg
2 2 4
Cartesian
3.9501 2.6293 2.6293
2.6334 0.0000 0.0000
0.0000 0.0000 0.0000
6.5834 2.6293 2.6293
4.6084 0.1028 2.7322
8.5584 2.7322 5.1558
4.6084 5.1558 2.5265
3.2917 2.5265 0.1028
```

## Properties
VASP energy = -24.694 eV per atom
mass density = 7.2 g/cm3
magnetic moment = 3.6 μB per cell
formation energy from raw total energies = 587 meV per atom
symmetry = I-42d (122)